Computed, not measured: a relaxed structure of TcNiMo2N at the PBE-GGA level of DFT.

POSCAR file:
```
TcNiMo2N
1.0
4.103 0.000 0.000
0.000 4.103 0.000
0.000 0.000 3.796
Ni Mo Tc N
1 2 1 1
direct
0.000 0.000 0.500
0.000 0.500 0.000
0.500 0.000 0.000
0.500 0.500 0.500
0.000 0.000 0.000
```

Results
Its uncorrected formation energy is -0.023 eV per atom. As for the symmetry: P4/mmm. The energy is -9.250 eV per atom. For the density of states at the Fermi level, the calculation gives 2.59 states/eV per cell. The density is 9.42 g cm⁻³. The calculation puts the relative energy among the computed polymorphs at 0.0 kJ/mol of atoms. As for the volume: 64 Å³/cell.